# 1
A plane-wave DFT calculation with PBEsol was carried out for crystalline Al4ReOs at its relaxed geometry.

Values from the calculation:
As for the space-group type: No. 216. The calculation puts the energy at -40.51 eV for the cell shown. As for the formation energy: 0.2342 eV per atom.

Unit cell a=4.892 b=4.892 c=4.892 alpha=60.00 beta=60.00 gamma=60.00
Positions (direct):
1 Al 0.375 0.874 0.375
2 Al 0.375 0.375 0.375
3 Al 0.874 0.375 0.375
4 Al 0.375 0.375 0.874
5 Os 0.750 0.750 0.750
6 Re 0.000 0.000 0.000

---

# 2
A plane-wave DFT calculation with PBEsol was carried out for crystalline TaPt3W at its relaxed geometry.

Values from the calculation:
As for the space-group type: No. 221. The calculation puts the energy at -38.61 eV for the cell shown. As for the formation energy: 1.7272 eV per atom.

Unit cell a=4.736 b=4.736 c=4.736 alpha=90.00 beta=90.00 gamma=90.00
Each line ends with the local moment (μB).
Positions (direct):
1 Ta 0.000 0.000 0.000  -0.11
2 W 0.500 0.500 0.500  2.41
3 Pt 0.500 0.000 0.000  -0.04
4 Pt 0.000 0.500 0.000  -0.04
5 Pt 0.000 0.000 0.500  -0.04

---

# 3
A plane-wave DFT calculation with PBEsol was carried out for crystalline CdAg8 at its relaxed geometry.

Values from the calculation:
As for the space-group type: No. 139. The calculation puts the energy at -27.90 eV for the cell shown. As for the formation energy: -0.0240 eV per atom.

Unit cell a=4.038 b=6.447 c=6.447 alpha=84.37 beta=71.75 gamma=71.75
Positions (direct):
1 Ag 0.668 0.664 0.000
2 Ag 0.332 0.336 0.000
3 Ag 0.000 0.665 0.335
4 Ag 0.000 0.335 0.665
5 Ag 0.665 0.335 0.335
6 Ag 0.668 0.000 0.664
7 Ag 0.332 0.000 0.336
8 Ag 0.335 0.665 0.665
9 Cd 0.000 0.000 0.000

---

# 4
A plane-wave DFT calculation with PBEsol was carried out for crystalline LiNi2Pt at its relaxed geometry.

Values from the calculation:
As for the space-group type: No. 65. The calculation puts the energy at -22.01 eV for the cell shown. As for the formation energy: -0.1901 eV per atom.

Unit cell a=2.595 b=4.398 c=4.398 alpha=110.19 beta=90.00 gamma=90.00
Positions (direct):
1 Pt 0.500 0.000 0.000
2 Li 0.500 0.500 0.500
3 Ni 0.000 0.000 0.500
4 Ni 0.000 0.500 0.000

---

D(E_F)? In order: 3.65; 4.03; 2.68; 4.12 states/eV/cell.